No. 1
A plane-wave DFT calculation with meta-GGA SCAN was carried out for HoTlRh2 at its PBEsol-relaxed geometry.

Calculated values
DOS(E_F) ... 0.71 states/eV/f.u.
E_form ... -632 meV/atom
Uncorrected energy ... -47.8538 eV/atom
Symmetry ... No. 225

a = 6.5589 Å, b = 6.5589 Å, c = 6.5589 Å
α = 90.00°, β = 90.00°, γ = 90.00°
Closest atoms and distances in Å follow each position.
Sites, in units of the cell vectors:
Ho: 0.0000 0.0000 0.0000  8 Rh 2.84
Ho: 0.0000 0.5000 0.5000  8 Rh 2.84
Ho: 0.5000 0.0000 0.5000  8 Rh 2.84
Ho: 0.5000 0.5000 0.0000  8 Rh 2.84
Tl: 0.0000 0.0000 0.5000  8 Rh 2.84
Tl: 0.0000 0.5000 0.0000  8 Rh 2.84
Tl: 0.5000 0.0000 0.0000  8 Rh 2.84
Tl: 0.5000 0.5000 0.5000  8 Rh 2.84
Rh: 0.2500 0.2500 0.2500  4 Tl 2.84, 4 Ho 2.84
Rh: 0.2500 0.2500 0.7500  4 Tl 2.84, 4 Ho 2.84
Rh: 0.2500 0.7500 0.2500  4 Tl 2.84, 4 Ho 2.84
Rh: 0.2500 0.7500 0.7500  4 Tl 2.84, 4 Ho 2.84
Rh: 0.7500 0.2500 0.2500  4 Tl 2.84, 4 Ho 2.84
Rh: 0.7500 0.2500 0.7500  4 Tl 2.84, 4 Ho 2.84
Rh: 0.7500 0.7500 0.2500  4 Tl 2.84, 4 Ho 2.84
Rh: 0.7500 0.7500 0.7500  4 Tl 2.84, 4 Ho 2.84

No. 2
A plane-wave DFT calculation with meta-GGA SCAN was carried out for CeUN2 at its PBEsol-relaxed geometry.

Calculated values
DOS(E_F) ... 5.68 states/eV/f.u.
Uncorrected energy ... -43.1892 eV/atom
Symmetry ... No. 166
Energy relative to the elements, uncorrected ... -1520.8 meV per atom

a = 3.4547 Å, b = 3.4547 Å, c = 16.8939 Å
α = 90.00°, β = 90.00°, γ = 120.00°
Closest atoms and distances in Å follow each position.
Sites, in units of the cell vectors:
Ce: 0.0000 0.0000 0.0000  6 N 2.54
Ce: 0.3333 0.6667 0.6667  6 N 2.54
Ce: 0.6667 0.3333 0.3333  6 N 2.54
U: 0.0000 0.0000 0.5000  6 N 2.35
U: 0.3333 0.6667 0.1667  6 N 2.35
U: 0.6667 0.3333 0.8333  6 N 2.35
N: 0.0000 0.0000 0.2398  3 U 2.35, 3 Ce 2.54
N: 0.0000 0.0000 0.7602  3 U 2.35, 3 Ce 2.54
N: 0.3333 0.6667 0.4269  3 U 2.35, 3 Ce 2.54
N: 0.3333 0.6667 0.9065  3 U 2.35, 3 Ce 2.54
N: 0.6667 0.3333 0.0935  3 U 2.35, 3 Ce 2.54
N: 0.6667 0.3333 0.5731  3 U 2.35, 3 Ce 2.54

No. 3
A plane-wave DFT calculation with meta-GGA SCAN was carried out for CaCd2Pb at its PBEsol-relaxed geometry.

Calculated values
DOS(E_F) ... 1.47 states/eV/f.u.
E_form ... -354 meV/atom
Uncorrected energy ... -36.9219 eV/atom
Symmetry ... No. 123

a = 4.5600 Å, b = 4.5600 Å, c = 4.7330 Å
α = 90.00°, β = 90.00°, γ = 90.00°
Closest atoms and distances in Å follow each position.
Sites, in units of the cell vectors:
Ca: 0.0000 0.0000 0.0000  4 Pb 3.22, 8 Cd 3.29
Cd: 0.0000 0.5000 0.5000  4 Cd 3.22, 4 Pb 3.29, 4 Ca 3.29
Cd: 0.5000 0.0000 0.5000  4 Cd 3.22, 4 Pb 3.29, 4 Ca 3.29
Pb: 0.5000 0.5000 0.0000  4 Ca 3.22, 8 Cd 3.29

No. 4
A plane-wave DFT calculation with meta-GGA SCAN was carried out for TaIn2Cl at its PBEsol-relaxed geometry.

Calculated values
DOS(E_F) ... 3.22 states/eV/f.u.
Uncorrected energy ... -35.0821 eV/atom
Symmetry ... No. 47
Energy relative to the elements, uncorrected ... 251.5 meV per atom

a = 3.0196 Å, b = 4.9727 Å, c = 5.3640 Å
α = 90.00°, β = 90.00°, γ = 90.00°
Closest atoms and distances in Å follow each position.
Sites, in units of the cell vectors:
Ta: 0.0000 0.0000 0.0000  2 Cl 2.68
In: 0.5000 0.5000 0.2478  2 In 2.66-2.71
In: 0.5000 0.5000 0.7522  2 In 2.66-2.71
Cl: 0.0000 0.0000 0.5000  2 Ta 2.68

No. 5
A plane-wave DFT calculation with meta-GGA SCAN was carried out for MnS3I at its PBEsol-relaxed geometry.

Calculated values
DOS(E_F) ... 3.10 states/eV/f.u.
Uncorrected energy ... -16.5519 eV/atom
Symmetry ... No. 221
Energy relative to the elements, uncorrected ... 224.3 meV per atom

a = 4.5040 Å, b = 4.5040 Å, c = 4.5040 Å
α = 90.00°, β = 90.00°, γ = 90.00°
Closest atoms and distances in Å follow each position.
Sites, in units of the cell vectors:
Mn: 0.0000 0.0000 0.0000  6 S 2.25
S: 0.0000 0.0000 0.5000  2 Mn 2.25
S: 0.0000 0.5000 0.0000  2 Mn 2.25
S: 0.5000 0.0000 0.0000  2 Mn 2.25
I: 0.5000 0.5000 0.5000  12 S 3.18

No. 6
A plane-wave DFT calculation with meta-GGA SCAN was carried out for ZrAl4C4 at its PBEsol-relaxed geometry.

Calculated values
DOS(E_F) ... 1.42 states/eV/f.u.
E_form ... -399 meV/atom
Uncorrected energy ... -11.7439 eV/atom
Symmetry ... No. 164

a = 3.3342 Å, b = 3.3342 Å, c = 21.9409 Å
α = 90.00°, β = 90.00°, γ = 120.00°
Closest atoms and distances in Å follow each position.
Sites, in units of the cell vectors:
Zr: 0.3333 0.6667 0.0610  6 C 2.34-2.38
Zr: 0.6667 0.3333 0.9390  6 C 2.34-2.38
Al: 0.0000 0.0000 0.1646  4 C 1.94-2.12
Al: 0.0000 0.0000 0.3512  4 C 1.96-2.15
Al: 0.0000 0.0000 0.6488  4 C 1.96-2.15
Al: 0.0000 0.0000 0.8354  4 C 1.94-2.12
Al: 0.3333 0.6667 0.5454  1 C 1.92
Al: 0.3333 0.6667 0.7330  3 C 1.95
Al: 0.6667 0.3333 0.2670  3 C 1.95
Al: 0.6667 0.3333 0.4546  1 C 1.92
C: 0.0000 0.0000 0.0000  6 Zr 2.34
C: 0.0000 0.0000 0.2532  5 Al 1.94-2.15
C: 0.0000 0.0000 0.5000  6 Al 2.17
C: 0.0000 0.0000 0.7468  5 Al 1.94-2.15
C: 0.3333 0.6667 0.6330  4 Al 1.92-1.96
C: 0.3333 0.6667 0.8756  3 Al 2.12
C: 0.6667 0.3333 0.1244  3 Al 2.12
C: 0.6667 0.3333 0.3670  4 Al 1.92-1.96

No. 7
A plane-wave DFT calculation with meta-GGA SCAN was carried out for BeTcSe2 at its PBEsol-relaxed geometry.

Calculated values
DOS(E_F) ... 2.92 states/eV/f.u.
Uncorrected energy ... -19.5252 eV/atom
Symmetry ... No. 123
Energy relative to the elements, uncorrected ... 367.3 meV per atom

a = 3.0449 Å, b = 3.0449 Å, c = 6.2575 Å
α = 90.00°, β = 90.00°, γ = 90.00°
Closest atoms and distances in Å follow each position.
Sites, in units of the cell vectors:
Be: 0.0000 0.0000 0.0000  8 Se 2.67
Tc: 0.0000 0.0000 0.5000  8 Se 2.65
Se: 0.5000 0.5000 0.2525  4 Tc 2.65, 4 Be 2.67
Se: 0.5000 0.5000 0.7475  4 Tc 2.65, 4 Be 2.67

No. 8
A plane-wave DFT calculation with meta-GGA SCAN was carried out for Mn3HgPb at its PBEsol-relaxed geometry.

Calculated values
DOS(E_F) ... 2.36 states/eV/f.u.
E_form ... 649 meV/atom
Uncorrected energy ... -39.0940 eV/atom
Symmetry ... No. 221

a = 5.1096 Å, b = 5.1096 Å, c = 5.1096 Å
α = 90.00°, β = 90.00°, γ = 90.00°
Closest atoms and distances in Å follow each position.
Sites, in units of the cell vectors:
Mn: 0.0000 0.0000 0.5000  2 Pb 2.55
Mn: 0.0000 0.5000 0.0000  2 Pb 2.55
Mn: 0.5000 0.0000 0.0000  2 Pb 2.55
Hg: 0.5000 0.5000 0.5000  12 Mn 3.61
Pb: 0.0000 0.0000 0.0000  6 Mn 2.55

No. 9
A plane-wave DFT calculation with meta-GGA SCAN was carried out for Ba6Br2N3Cl at its PBEsol-relaxed geometry.

Calculated values
Uncorrected energy ... -27.4475 eV/atom
Symmetry ... No. 12
Energy relative to the elements, uncorrected ... -1441.5 meV per atom

a = 9.9781 Å, b = 9.9781 Å, c = 9.0863 Å
α = 110.81°, β = 110.81°, γ = 23.73°
Closest atoms and distances in Å follow each position.
Sites, in units of the cell vectors:
Ba: 0.0130 0.0130 0.2196  3 N 2.78-2.81
Ba: 0.3204 0.3204 0.4508  3 N 2.77-2.81
Ba: 0.3482 0.3482 0.8810  3 N 2.76-2.79
Ba: 0.6518 0.6518 0.1190  3 N 2.76-2.79
Ba: 0.6796 0.6796 0.5492  3 N 2.77-2.81
Ba: 0.9870 0.9870 0.7804  3 N 2.78-2.81
Br: 0.1672 0.1672 0.8350  6 Ba 3.37-3.41
Br: 0.8328 0.8328 0.1650  6 Ba 3.37-3.41
N: 0.1658 0.1658 0.3355  6 Ba 2.77-2.81
N: 0.5000 0.5000 0.0000  6 Ba 2.76-2.81
N: 0.8342 0.8342 0.6645  6 Ba 2.77-2.81
Cl: 0.5000 0.5000 0.5000  6 Ba 3.35-3.37

No. 10
A plane-wave DFT calculation with meta-GGA SCAN was carried out for Tl3CrTe at its PBEsol-relaxed geometry.

Calculated values
DOS(E_F) ... 1.05 states/eV/f.u.
Uncorrected energy ... -54.3715 eV/atom
Symmetry ... No. 221
Energy relative to the elements, uncorrected ... 170.7 meV per atom

a = 5.2936 Å, b = 5.2936 Å, c = 5.2936 Å
α = 90.00°, β = 90.00°, γ = 90.00°
Closest atoms and distances in Å follow each position.
Sites, in units of the cell vectors:
Tl: 0.0000 0.0000 0.5000  2 Cr 2.65
Tl: 0.0000 0.5000 0.0000  2 Cr 2.65
Tl: 0.5000 0.0000 0.0000  2 Cr 2.65
Cr: 0.0000 0.0000 0.0000  6 Tl 2.65
Te: 0.5000 0.5000 0.5000  12 Tl 3.74

No. 11
A plane-wave DFT calculation with meta-GGA SCAN was carried out for As3Pb2 at its PBEsol-relaxed geometry.

Calculated values
DOS(E_F) ... 2.13 states/eV/f.u.
E_form ... 93 meV/atom
Uncorrected energy ... -42.3337 eV/atom
Symmetry ... No. 164

a = 3.9615 Å, b = 3.9615 Å, c = 9.5269 Å
α = 90.00°, β = 90.00°, γ = 120.00°
Closest atoms and distances in Å follow each position.
Sites, in units of the cell vectors:
As: 0.0000 0.0000 0.0000  6 Pb 2.89
As: 0.3333 0.6667 0.4335  3 As 2.61
As: 0.6667 0.3333 0.5665  3 As 2.61
Pb: 0.3333 0.6667 0.8138  3 As 2.89
Pb: 0.6667 0.3333 0.1862  3 As 2.89

No. 12
A plane-wave DFT calculation with meta-GGA SCAN was carried out for BaH4O3 at its PBEsol-relaxed geometry.

Calculated values
DOS(E_F) ... 0.00 states/eV/f.u.
Uncorrected energy ... -10.6255 eV/atom
Symmetry ... No. 11

a = 6.1526 Å, b = 4.1244 Å, c = 7.1315 Å
α = 90.00°, β = 114.63°, γ = 90.00°
Closest atoms and distances in Å follow each position.
Sites, in units of the cell vectors:
Ba: 0.1364 0.2500 0.2867  4 O 2.63-2.79, 2 H 2.83
Ba: 0.8636 0.7500 0.7133  4 O 2.63-2.79, 2 H 2.83
H: 0.2607 0.2500 0.8801  1 O 0.98
H: 0.3243 0.5521 0.6787  1 O 1.04
H: 0.3243 0.9479 0.6787  1 O 1.04
H: 0.3898 0.7500 0.1248  1 O 0.98
H: 0.6102 0.2500 0.8752  1 O 0.98
H: 0.6757 0.0521 0.3213  1 O 1.04
H: 0.6757 0.4479 0.3213  1 O 1.04
H: 0.7393 0.7500 0.1199  1 O 0.98
O: 0.2139 0.2500 0.7307  1 H 0.98
O: 0.2167 0.7500 0.0840  1 H 0.98
O: 0.3747 0.7500 0.6165  2 H 1.04
O: 0.6253 0.2500 0.3835  2 H 1.04
O: 0.7833 0.2500 0.9160  1 H 0.98
O: 0.7861 0.7500 0.2693  1 H 0.98

No. 13
A plane-wave DFT calculation with meta-GGA SCAN was carried out for Co3PdRu at its PBEsol-relaxed geometry.

Calculated values
DOS(E_F) ... 5.59 states/eV/f.u.
E_form ... 1683 meV/atom
Uncorrected energy ... -22.2193 eV/atom
Symmetry ... No. 221

a = 4.3680 Å, b = 4.3680 Å, c = 4.3680 Å
α = 90.00°, β = 90.00°, γ = 90.00°
Closest atoms and distances in Å follow each position.
Sites, in units of the cell vectors:
Co: 0.0000 0.0000 0.5000  2 Pd 2.18
Co: 0.0000 0.5000 0.0000  2 Pd 2.18
Co: 0.5000 0.0000 0.0000  2 Pd 2.18
Pd: 0.0000 0.0000 0.0000  6 Co 2.18
Ru: 0.5000 0.5000 0.5000  12 Co 3.09

No. 14
A plane-wave DFT calculation with meta-GGA SCAN was carried out for IrRhPb2 at its PBEsol-relaxed geometry.

Calculated values
DOS(E_F) ... 3.20 states/eV/f.u.
E_form ... 315 meV/atom
Uncorrected energy ... -63.7937 eV/atom
Symmetry ... No. 99

a = 3.1130 Å, b = 3.1130 Å, c = 8.3771 Å
α = 90.00°, β = 90.00°, γ = 90.00°
Closest atoms and distances in Å follow each position.
Sites, in units of the cell vectors:
Ir: 0.0000 0.0000 0.0000  4 Rh 2.71, 4 Pb 2.90
Rh: 0.5000 0.5000 0.8122  4 Ir 2.71, 4 Pb 2.87
Pb: 0.0000 0.0000 0.5914  4 Rh 2.87, 4 Pb 3.11
Pb: 0.5000 0.5000 0.2256  4 Ir 2.90, 4 Pb 3.11